No. 1
Zn2TcCl | PBE | relaxed

The structure belongs to space group Cmmm (No. 65); the cell edges are 5.383, 7.975 and 2.894 Å and the angles 90.00°, 90.00° and 90.00°. The inequivalent atoms are Zn at (0.250, 0.250, 0.000), Tc at (0.000, 0.000, 0.500) and Cl at (0.000, 0.500, 0.500).

As for the uncorrected formation energy: 237 meV per atom. The offset from the most stable computed form is 0.1955 eV/atom.

No. 2
Nd6TlZn | PBE | relaxed

The structure belongs to space group C2/m (No. 12); the cell edges are 7.098, 12.150 and 7.132 Å and the angles 90.00°, 117.71° and 90.00°. The inequivalent atoms are Nd at (0.219, 0.206, 0.247), Nd at (0.234, 0.000, 0.759), Tl at (0.000, 0.500, 0.500) and Zn at (0.000, 0.000, 0.000).

The calculation puts the formation energy from the elements at 0.08 eV per atom.